# CaPPt GGA-PBE relaxed
# - DFT formation energy (eV per atom) = -0.8994
data_CaPPt
_space_group_name_H-M_alt 'C 1 m 1'
_space_group_IT_number 8
_space_group_name_Hall 'C -2y'
_cell_length_a 9.870
_cell_length_b 4.402
_cell_length_c 6.050
_cell_angle_alpha 90.00
_cell_angle_beta 98.91
_cell_angle_gamma 90.00
loop_
_atom_site_label
_atom_site_type_symbol
_atom_site_fract_x
_atom_site_fract_y
_atom_site_fract_z
Ca1 Ca 0.000 0.000 0.000
Ca2 Ca 0.241 0.500 0.436
P1 P 0.292 0.000 0.911
P2 P 0.456 0.000 0.674
Pt1 Pt 0.189 0.500 0.883
Pt2 Pt 0.400 0.000 0.286